# 1
{"formula": "Bi3BO6", "functional": "PBE", "state": "relaxed", "energy_ev_per_atom": -6.038, "de_polymorph_ev_per_fu": 2.63, "space_group": "No. 14", "formation_energy_uncorrected_ev_per_fu": -12.307, "lattice_angstrom": [[-4.9288, -3.6562, -1.4854], [3.6099, -5.5475, 1.6764], [-1.0080, 2.3338, 9.8937]], "species": ["O", "O", "O", "O", "O", "O", "O", "O", "O", "O", "O", "O", "Bi", "Bi", "Bi", "Bi", "Bi", "Bi", "B", "B"], "fractional_positions": [[0.6209, 0.3571, 0.5573], [0.8395, 0.9067, 0.2801], [0.5709, 0.1775, 0.9805], [0.4291, 0.8225, 0.0195], [0.0709, 0.3225, 0.4805], [0.6605, 0.4067, 0.2199], [0.1209, 0.1429, 0.0573], [0.1605, 0.0933, 0.7199], [0.8791, 0.8571, 0.9427], [0.3791, 0.6429, 0.4427], [0.9291, 0.6775, 0.5195], [0.3395, 0.5933, 0.7801], [0.0321, 0.4363, 0.6739], [0.4679, 0.9363, 0.8261], [0.0000, 0.0000, 0.5000], [0.9679, 0.5637, 0.3261], [0.5321, 0.0637, 0.1739], [0.5000, 0.5000, 0.0000], [0.5000, 0.5000, 0.5000], [0.0000, 0.0000, 0.0000]]}

# 2
{"formula": "TeOsRu2", "functional": "PBE", "state": "relaxed", "energy_ev_per_atom": -7.551, "space_group": "No. 160", "dos_at_fermi_per_ev_cell": 5.55, "formation_energy_uncorrected_ev_per_fu": 2.720, "lattice_angstrom": [[8.7691, -0.0029, -0.0017], [8.2753, 2.9013, -0.0017], [8.2753, 1.4072, 2.5372]], "species": ["Te", "Ru", "Ru", "Os"], "fractional_positions": [[0.5017, 0.5017, 0.5017], [0.0008, 0.0008, 0.0008], [0.2507, 0.2507, 0.2507], [0.7469, 0.7469, 0.7469]]}

# 3
{"formula": "Li2B4O7", "functional": "PBE", "state": "relaxed", "energy_ev_per_atom": -7.446, "space_group": "No. 110", "dos_at_fermi_per_ev_cell": 0.00, "formation_energy_uncorrected_ev_per_fu": -31.554, "lattice_angstrom": [[-3.5543, 0.4592, -7.8923], [-3.4996, -6.2250, 4.9128], [-1.3250, 7.1537, 4.7119]], "species": ["O", "O", "O", "O", "O", "O", "O", "O", "O", "O", "O", "O", "O", "O", "O", "O", "O", "O", "O", "O", "O", "O", "O", "O", "O", "O", "O", "O", "Li", "Li", "Li", "Li", "Li", "Li", "Li", "Li", "B", "B", "B", "B", "B", "B", "B", "B", "B", "B", "B", "B", "B", "B", "B", "B"], "fractional_positions": [[0.2516, 0.9203, 0.5201], [0.5910, 0.0058, 0.7227], [0.2170, 0.4727, 0.3817], [0.9063, 0.1073, 0.7587], [0.4090, 0.1317, 0.4147], [0.5998, 0.7685, 0.0201], [0.5000, 0.7419, 0.2419], [0.7516, 0.7701, 0.6703], [0.5000, 0.2419, 0.7419], [0.0937, 0.8524, 0.2011], [0.5937, 0.4511, 0.6024], [0.6514, 0.3524, 0.2587], [0.2830, 0.5058, 0.9147], [0.0000, 0.9919, 0.9919], [0.7830, 0.1647, 0.2558], [0.7170, 0.6317, 0.2227], [0.9002, 0.4187, 0.1703], [0.2484, 0.9187, 0.0185], [0.9090, 0.6647, 0.8817], [0.0000, 0.4919, 0.4919], [0.8486, 0.9511, 0.3573], [0.1514, 0.5087, 0.1024], [0.4002, 0.4203, 0.1687], [0.4063, 0.0087, 0.8573], [0.3486, 0.6073, 0.7011], [0.0910, 0.9727, 0.7558], [0.0998, 0.2701, 0.5185], [0.7484, 0.2685, 0.6687], [0.1546, 0.2317, 0.7474], [0.3454, 0.3271, 0.3429], [0.8454, 0.5929, 0.0771], [0.6546, 0.9974, 0.9817], [0.5157, 0.0929, 0.2474], [0.4843, 0.7317, 0.5771], [0.0157, 0.4974, 0.8429], [0.9843, 0.8271, 0.4817], [0.8392, 0.3677, 0.3017], [0.0899, 0.4665, 0.2187], [0.1608, 0.4625, 0.5285], [0.7522, 0.6288, 0.7187], [0.2522, 0.9687, 0.3788], [0.9101, 0.1288, 0.3766], [0.7478, 0.1266, 0.7165], [0.6608, 0.7785, 0.2125], [0.5660, 0.2785, 0.6177], [0.4340, 0.0517, 0.7125], [0.2478, 0.9665, 0.8766], [0.4101, 0.6266, 0.8788], [0.3392, 0.5517, 0.1177], [0.0660, 0.8677, 0.0285], [0.5899, 0.4687, 0.2165], [0.9340, 0.9625, 0.8017]]}

# 4
{"formula": "Li2Mg2In3", "functional": "PBE", "state": "relaxed", "energy_ev_per_atom": -2.339, "formation_enthalpy_0k_mev_per_atom": -163.0, "space_group": "No. 2", "dos_at_fermi_per_ev_cell": 1.41, "lattice_angstrom": [[-1.2599, -2.7739, 3.6581], [3.1903, -1.9174, -3.4156], [7.6542, 2.1286, 1.0772]], "species": ["In", "In", "In", "Mg", "Mg", "Li", "Li"], "fractional_positions": [[0.5762, 0.4522, 0.7043], [0.4238, 0.5478, 0.2957], [0.0000, 0.0000, 0.0000], [0.7135, 0.2756, 0.1511], [0.2865, 0.7244, 0.8489], [0.8634, 0.1503, 0.5788], [0.1366, 0.8497, 0.4212]]}

# 5
{"formula": "Sr3ZnCd3", "functional": "PBE", "state": "relaxed", "energy_ev_per_atom": -1.586, "formation_enthalpy_0k_mev_per_atom": -290.6, "space_group": "No. 12", "dos_at_fermi_per_ev_cell": 9.85, "lattice_angstrom": [[4.4700, 0.0000, 0.6733], [2.1862, 6.0560, 0.6606], [-0.2178, 0.2871, 16.6193]], "species": ["Cd", "Cd", "Cd", "Cd", "Cd", "Cd", "Zn", "Zn", "Sr", "Sr", "Sr", "Sr", "Sr", "Sr"], "fractional_positions": [[0.8306, 0.8001, 0.5387], [0.1026, 0.8732, 0.9216], [0.0272, 0.1801, 0.7654], [0.1694, 0.1999, 0.4613], [0.8974, 0.1268, 0.0784], [0.9728, 0.8199, 0.2346], [0.7799, 0.0582, 0.3821], [0.2201, 0.9418, 0.6179], [0.7407, 0.7554, 0.7632], [0.4871, 0.6383, 0.3876], [0.6120, 0.6975, 0.0785], [0.3880, 0.3025, 0.9215], [0.2593, 0.2446, 0.2368], [0.5129, 0.3617, 0.6125]]}

# 6
{"formula": "Cs2NaCF6", "functional": "PBE", "state": "relaxed", "energy_ev_per_atom": -4.055, "space_group": "No. 139", "dos_at_fermi_per_ev_cell": 3.51, "formation_energy_uncorrected_ev_per_fu": -17.076, "lattice_angstrom": [[-2.0482, -1.7379, -5.4999], [-1.3876, -5.5165, 2.2600], [-5.6733, -2.2120, -0.5941]], "species": ["F", "F", "F", "F", "F", "F", "Cs", "Cs", "C", "Na"], "fractional_positions": [[0.2919, 0.2919, 0.0000], [0.2919, 0.7081, 0.0000], [0.7081, 0.2919, 0.0000], [0.2916, 0.2916, 0.4169], [0.7081, 0.7081, 0.0000], [0.7084, 0.7084, 0.5831], [0.7500, 0.2500, 0.5000], [0.2500, 0.7500, 0.5000], [0.5000, 0.5000, 0.0000], [0.0000, 0.0000, 0.0000]]}

# 7
{"formula": "Dy4ZnBi2", "functional": "PBE", "state": "relaxed", "energy_ev_per_atom": -4.309, "formation_enthalpy_0k_mev_per_atom": -388.1, "space_group": "No. 12", "dos_at_fermi_per_ev_cell": 5.90, "lattice_angstrom": [[4.2454, 0.0000, 0.0000], [0.0000, 7.5277, 0.0163], [-2.1227, -3.6646, 6.7736]], "species": ["Dy", "Dy", "Dy", "Dy", "Bi", "Bi", "Zn"], "fractional_positions": [[0.3890, 0.6839, 0.7780], [0.8896, 0.2442, 0.7793], [0.6110, 0.3161, 0.2220], [0.1104, 0.7558, 0.2207], [0.2370, 0.2280, 0.4741], [0.7630, 0.7720, 0.5259], [0.0000, 0.0000, 0.0000]]}

# 8
{"formula": "SbRuAu2", "functional": "PBE", "state": "relaxed", "energy_ev_per_atom": -4.774, "space_group": "No. 12", "dos_at_fermi_per_ev_cell": 2.82, "formation_energy_uncorrected_ev_per_fu": 0.856, "lattice_angstrom": [[5.8962, 0.0062, -0.0034], [-3.3517, 4.8508, -0.0034], [0.8684, 1.6577, 2.6019]], "species": ["Sb", "Au", "Au", "Ru"], "fractional_positions": [[0.0000, 0.5000, 0.5000], [0.5000, 0.5000, 0.0000], [0.0000, 0.0000, 0.0000], [0.5000, 0.0000, 0.5000]]}

| no. | M_tot (μB/atom) |
| --- | --- |
| 1 | 0.00 |
| 2 | 0.00 |
| 3 | 0.00 |
| 4 | 0.00 |
| 5 | 0.00 |
| 6 | 0.10 |
| 7 | 0.00 |
| 8 | 0.00 |